The following is a GGA-PBEsol calculation of a relaxed structure of Zn2TeMo, from the Alexandria database.

Lattice parameters (Å, degrees): 3.415 3.415 5.734 90.00 90.00 89.98
Fractional positions:
1 Zn 0.000 0.000 0.964
2 Mo 0.000 0.000 0.506
3 Te 0.500 0.500 0.269
4 Zn 0.500 0.500 0.761

The following is a GGA-PBEsol calculation of a relaxed structure of Zr2TeMo, from the Alexandria database.

Lattice parameters (Å, degrees): 3.683 4.603 4.603 90.00 90.00 90.00
Fractional positions:
1 Mo 0.500 0.500 0.500
2 Te 0.500 0.000 0.000
3 Zr 0.000 0.000 0.500
4 Zr 0.000 0.500 0.000

The following is a GGA-PBEsol calculation of a relaxed structure of Zr2TeMo, from the Alexandria database.

Lattice parameters (Å, degrees): 4.806 4.806 4.806 60.00 60.00 60.00
Fractional positions:
1 Zr 0.250 0.250 0.250
2 Mo 0.000 0.000 0.000
3 Te 0.500 0.500 0.500
4 Zr 0.750 0.750 0.750

Uncorrected formation energy list, top to bottom, in eV per atom: 0.13 -0.23 -0.05
Volume list, top to bottom, in Å³/atom: 16.72 19.51 19.63